Record 1
Material: Tb3Pm4Pr8
Method: DFT, GGA-PBE
State: relaxed

```
data_Tb3Pm4Pr8
_cell_length_a 9.406
_cell_length_b 9.406
_cell_length_c 6.949
_cell_angle_alpha 111.59
_cell_angle_beta 111.59
_cell_angle_gamma 82.21
_space_group_name_H-M_alt 'P 1'
_space_group_IT_number 1
_space_group_name_Hall 'P 1'
loop_
_atom_site_label
_atom_site_fract_x
_atom_site_fract_y
_atom_site_fract_z
Tb1 0.000 0.000 0.000
Tb2 0.000 0.500 0.500
Tb3 0.500 0.000 0.500
Pm1 0.000 0.500 0.000
Pm2 0.500 0.000 0.000
Pm3 0.500 0.500 0.000
Pm4 0.500 0.500 0.500
Pr1 0.203 0.203 0.703
Pr2 0.203 0.797 0.500
Pr3 0.252 0.252 0.254
Pr4 0.252 0.748 0.000
Pr5 0.748 0.252 0.000
Pr6 0.748 0.748 0.746
Pr7 0.797 0.203 0.500
Pr8 0.797 0.797 0.297
```

Formation energy (eV per atom): 0.3057
SG: No. 12
Fermi-level density of states (states/eV/cell): 24.08
Polymorph energy (0 for the lowest one) (eV per atom): 0.1784



Record 2
Material: Tb6PmPr2
Method: DFT, GGA-PBE
State: relaxed

```
data_Tb6PmPr2
_cell_length_a 9.882
_cell_length_b 9.882
_cell_length_c 3.522
_cell_angle_alpha 100.19
_cell_angle_beta 100.19
_cell_angle_gamma 63.62
_space_group_name_H-M_alt 'P 1'
_space_group_IT_number 1
_space_group_name_Hall 'P 1'
loop_
_atom_site_label
_atom_site_fract_x
_atom_site_fract_y
_atom_site_fract_z
Tb1 0.156 0.489 0.321
Tb2 0.188 0.812 0.000
Tb3 0.489 0.156 0.321
Tb4 0.511 0.844 0.679
Tb5 0.812 0.188 0.000
Tb6 0.844 0.511 0.679
Pm1 0.500 0.500 0.500
Pr1 0.157 0.157 0.656
Pr2 0.843 0.843 0.344
```

Formation energy (eV per atom): 0.1028
SG: No. 12
Fermi-level density of states (states/eV/cell): 14.06
Polymorph energy (0 for the lowest one) (eV per atom): 0.0082



Record 3
Material: TbPm2Pr
Method: DFT, GGA-PBE
State: relaxed

```
data_TbPm2Pr
_cell_length_a 5.671
_cell_length_b 6.975
_cell_length_c 6.975
_cell_angle_alpha 29.81
_cell_angle_beta 90.00
_cell_angle_gamma 90.00
_space_group_name_H-M_alt 'P 1'
_space_group_IT_number 1
_space_group_name_Hall 'P 1'
loop_
_atom_site_label
_atom_site_fract_x
_atom_site_fract_y
_atom_site_fract_z
Tb1 0.000 0.000 0.000
Pm1 0.000 0.739 0.739
Pm2 0.500 0.613 0.613
Pr1 0.500 0.357 0.357
```

Formation energy (eV per atom): 0.0478
SG: No. 38
Fermi-level density of states (states/eV/cell): 5.73
Polymorph energy (0 for the lowest one) (eV per atom): 0.0316



Record 4
Material: Tb3Pm2Pr6
Method: DFT, GGA-PBE
State: relaxed

```
data_Tb3Pm2Pr6
_cell_length_a 17.609
_cell_length_b 17.609
_cell_length_c 17.609
_cell_angle_alpha 164.31
_cell_angle_beta 164.31
_cell_angle_gamma 22.26
_space_group_name_H-M_alt 'P 1'
_space_group_IT_number 1
_space_group_name_Hall 'P 1'
loop_
_atom_site_label
_atom_site_fract_x
_atom_site_fract_y
_atom_site_fract_z
Tb1 0.000 0.000 0.000
Tb2 0.194 0.194 0.000
Tb3 0.806 0.806 0.000
Pm1 0.455 0.455 0.000
Pm2 0.545 0.545 0.000
Pr1 0.121 0.621 0.500
Pr2 0.293 0.293 0.000
Pr3 0.379 0.879 0.500
Pr4 0.621 0.121 0.500
Pr5 0.707 0.707 0.000
Pr6 0.879 0.379 0.500
```

Formation energy (eV per atom): 0.2790
SG: No. 139
Fermi-level density of states (states/eV/cell): 16.20
Polymorph energy (0 for the lowest one) (eV per atom): 0.2649



Record 5
Material: TbPmPr
Method: DFT, GGA-PBE
State: relaxed

```
data_TbPmPr
_cell_length_a 6.307
_cell_length_b 6.307
_cell_length_c 6.307
_cell_angle_alpha 146.37
_cell_angle_beta 131.84
_cell_angle_gamma 60.02
_space_group_name_H-M_alt 'P 1'
_space_group_IT_number 1
_space_group_name_Hall 'P 1'
loop_
_atom_site_label
_atom_site_fract_x
_atom_site_fract_y
_atom_site_fract_z
Tb1 0.000 0.000 0.000
Pm1 0.665 0.665 0.000
Pr1 0.333 0.333 0.000
```

Formation energy (eV per atom): 0.0146
SG: No. 44
Fermi-level density of states (states/eV/cell): 3.97
Polymorph energy (0 for the lowest one) (eV per atom): 0.0000



Record 6
Material: TbPmPr
Method: DFT, GGA-PBE
State: relaxed

```
data_TbPmPr
_cell_length_a 5.768
_cell_length_b 5.768
_cell_length_c 3.546
_cell_angle_alpha 90.00
_cell_angle_beta 90.00
_cell_angle_gamma 120.00
_space_group_name_H-M_alt 'P 1'
_space_group_IT_number 1
_space_group_name_Hall 'P 1'
loop_
_atom_site_label
_atom_site_fract_x
_atom_site_fract_y
_atom_site_fract_z
Tb1 0.000 0.000 0.000
Pm1 0.333 0.667 0.000
Pr1 0.667 0.333 0.500
```

Formation energy (eV per atom): 0.0608
SG: No. 187
Fermi-level density of states (states/eV/cell): 4.61
Polymorph energy (0 for the lowest one) (eV per atom): 0.0462



Record 7
Material: TbPm3Pr
Method: DFT, GGA-PBE
State: relaxed

```
data_TbPm3Pr
_cell_length_a 6.612
_cell_length_b 6.618
_cell_length_c 9.819
_cell_angle_alpha 70.44
_cell_angle_beta 89.68
_cell_angle_gamma 60.19
_space_group_name_H-M_alt 'P 1'
_space_group_IT_number 1
_space_group_name_Hall 'P 1'
loop_
_atom_site_label
_atom_site_fract_x
_atom_site_fract_y
_atom_site_fract_z
Tb1 0.017 0.044 0.314
Tb2 0.983 0.956 0.686
Pm1 0.149 0.369 0.687
Pm2 0.343 0.808 0.042
Pm3 0.438 0.209 0.312
Pm4 0.562 0.791 0.688
Pm5 0.657 0.192 0.958
Pm6 0.851 0.631 0.313
Pr1 0.000 0.500 0.000
Pr2 0.500 0.500 0.500
```

Formation energy (eV per atom): 0.1583
SG: No. 2
Fermi-level density of states (states/eV/cell): 14.09
Polymorph energy (0 for the lowest one) (eV per atom): 0.1291



Record 8
Material: TbPmPr2
Method: DFT, GGA-PBE
State: relaxed

```
data_TbPmPr2
_cell_length_a 5.183
_cell_length_b 5.183
_cell_length_c 5.158
_cell_angle_alpha 90.00
_cell_angle_beta 90.00
_cell_angle_gamma 90.00
_space_group_name_H-M_alt 'P 1'
_space_group_IT_number 1
_space_group_name_Hall 'P 1'
loop_
_atom_site_label
_atom_site_fract_x
_atom_site_fract_y
_atom_site_fract_z
Tb1 0.000 0.000 0.000
Pm1 0.500 0.500 0.000
Pr1 0.000 0.500 0.500
Pr2 0.500 0.000 0.500
```

Formation energy (eV per atom): 0.0155
SG: No. 123
Fermi-level density of states (states/eV/cell): 6.78
Polymorph energy (0 for the lowest one) (eV per atom): 0.0039



Record 9
Material: Tb7Pm2Pr2
Method: DFT, GGA-PBE
State: relaxed

```
data_Tb7Pm2Pr2
_cell_length_a 8.134
_cell_length_b 8.134
_cell_length_c 6.117
_cell_angle_alpha 106.03
_cell_angle_beta 106.03
_cell_angle_gamma 91.45
_space_group_name_H-M_alt 'P 1'
_space_group_IT_number 1
_space_group_name_Hall 'P 1'
loop_
_atom_site_label
_atom_site_fract_x
_atom_site_fract_y
_atom_site_fract_z
Tb1 0.000 0.000 0.000
Tb2 0.064 0.591 0.830
Tb3 0.409 0.409 0.195
Tb4 0.409 0.936 0.170
Tb5 0.591 0.064 0.830
Tb6 0.591 0.591 0.805
Tb7 0.936 0.409 0.170
Pm1 0.218 0.782 0.500
Pm2 0.782 0.218 0.500
Pr1 0.234 0.234 0.588
Pr2 0.766 0.766 0.412
```

Formation energy (eV per atom): 0.1510
SG: No. 12
Fermi-level density of states (states/eV/cell): 17.21
Polymorph energy (0 for the lowest one) (eV per atom): 0.0052



Record 10
Material: Tb2PmPr6
Method: DFT, GGA-PBE
State: relaxed

```
data_Tb2PmPr6
_cell_length_a 12.843
_cell_length_b 12.843
_cell_length_c 6.132
_cell_angle_alpha 96.27
_cell_angle_beta 96.27
_cell_angle_gamma 138.80
_space_group_name_H-M_alt 'P 1'
_space_group_IT_number 1
_space_group_name_Hall 'P 1'
loop_
_atom_site_label
_atom_site_fract_x
_atom_site_fract_y
_atom_site_fract_z
Tb1 0.005 0.824 0.964
Tb2 0.176 0.995 0.536
Tb3 0.824 0.005 0.464
Tb4 0.995 0.176 0.036
Pm1 0.389 0.611 0.250
Pm2 0.611 0.389 0.750
Pr1 0.115 0.441 0.592
Pr2 0.149 0.680 0.966
Pr3 0.276 0.331 0.716
Pr4 0.320 0.851 0.534
Pr5 0.331 0.276 0.216
Pr6 0.441 0.115 0.092
Pr7 0.559 0.885 0.908
Pr8 0.669 0.724 0.784
Pr9 0.680 0.149 0.466
Pr10 0.724 0.669 0.284
Pr11 0.851 0.320 0.034
Pr12 0.885 0.559 0.408
```

Formation energy (eV per atom): 0.1472
SG: No. 15
Fermi-level density of states (states/eV/cell): 22.45
Polymorph energy (0 for the lowest one) (eV per atom): 0.1332